A relaxed Cs2KIF6 crystal, computed with PBE-GGA.

For the magnetic moment, the calculation gives 0.17 μB per cell. For the final energy, the calculation gives -37.93 eV for the cell shown. The formation energy (no corrections) comes out at -2.23 eV/atom. The value obtained for the offset from the most stable computed form is 0.000 eV/atom.

Cell and atoms, written as POSCAR:
```
Cs2KIF6
1.0
5.9480 0.0000 0.0000
-0.0789 6.2624 0.0000
-2.3897 -2.7917 6.4581
Cs K I F
2 1 1 6
Direct
0.2464 0.2509 0.0023
0.7536 0.7491 0.9977
0.0000 0.5000 0.5000
0.5000 0.0000 0.5000
0.1695 0.0899 0.3889
0.2259 0.6800 0.9011
0.3470 0.6672 0.4132
0.6530 0.3328 0.5868
0.7741 0.3200 0.0989
0.8305 0.9101 0.6111
```

A relaxed Cs2LaIF6 crystal, computed with PBE-GGA.

For the magnetic moment, the calculation gives 2.00 μB per cell. For the final energy, the calculation gives -46.63 eV for the cell shown. The formation energy (no corrections) comes out at -2.72 eV/atom.

Cell and atoms, written as POSCAR:
```
Cs2LaIF6
1.0
-3.4689 3.4689 5.6412
3.4689 -3.4689 5.6412
3.4689 3.4689 -5.6412
Cs La I F
2 1 1 6
Direct
0.2500 0.7500 0.5000
0.7500 0.2500 0.5000
0.0000 0.0000 0.0000
0.5000 0.5000 0.0000
0.2031 0.2031 0.0000
0.2368 0.2368 0.4737
0.2368 0.7632 0.0000
0.7632 0.2368 0.0000
0.7632 0.7632 0.5263
0.7969 0.7969 0.0000
```

A relaxed CsLaI2F crystal, computed with PBE-GGA.

For the magnetic moment, the calculation gives 0.32 μB per cell. For the final energy, the calculation gives -20.74 eV for the cell shown. The formation energy (no corrections) comes out at -2.00 eV/atom.

Cell and atoms, written as POSCAR:
```
CsLaI2F
1.0
6.5342 0.0000 0.0000
0.0000 6.5342 0.0000
0.0000 0.0000 4.6865
Cs La I F
1 1 2 1
Direct
0.0000 0.0000 0.0000
0.5000 0.5000 0.5000
0.0000 0.5000 0.5000
0.5000 0.0000 0.5000
0.5000 0.5000 0.0000
```

A relaxed Cs2MgI6F crystal, computed with PBE-GGA.

For the magnetic moment, the calculation gives 0.00 μB per cell. For the final energy, the calculation gives -23.13 eV for the cell shown. The formation energy (no corrections) comes out at -0.87 eV/atom.

Cell and atoms, written as POSCAR:
```
Cs2MgI6F
1.0
-3.9427 3.9427 6.6490
3.9427 -3.9427 6.6490
3.9427 3.9427 -6.6490
Cs Mg I F
2 1 6 1
Direct
0.2500 0.7500 0.5000
0.7500 0.2500 0.5000
0.0000 0.0000 0.0000
0.2171 0.2171 0.0000
0.2637 0.2637 0.5274
0.2637 0.7363 0.0000
0.7363 0.2637 0.0000
0.7363 0.7363 0.4726
0.7829 0.7829 0.0000
0.5000 0.5000 0.0000
```

- magnetic moment of number 1 (Cs2KIF6)?
  0.17 μB per cell